Material: YMg2PdPt
Method: DFT, GGA-PBE
State: optimized geometry

```
YMg2PdPt
1.0
-1.8694 5.2679 0.0626
-1.4900 -0.5831 4.5799
4.9807 1.7456 1.8427
Y Mg Pd Pt
1 2 1 1
Direct
0.0000 0.0000 0.0000 Y
0.0000 0.0000 0.5000 Mg
0.5000 0.0000 0.0000 Mg
0.0000 0.5000 0.0000 Pd
0.5000 0.5000 0.5000 Pt
```

Properties
Final energy   -0.216 Ry per atom
Energy relative to the elements   1.240 eV/atom

---

Material: HoMn4Tc
Method: DFT, GGA-PBE
State: optimized geometry

```
HoMn4Tc
1.0
-1.8151 4.5098 -0.6053
-3.3109 0.8574 -3.5074
-4.6530 0.9495 1.2031
Mn Ho Tc
4 1 1
Direct
0.6247 0.6247 0.1259 Mn
0.6247 0.1259 0.6247 Mn
0.6247 0.6247 0.6247 Mn
0.1259 0.6247 0.6247 Mn
0.0000 0.0000 0.0000 Ho
0.2500 0.2500 0.2500 Tc
```

Properties
Final energy   -0.621 Ry per atom
Energy relative to the elements   0.150 eV/atom

---

Material: BC3
Method: DFT, GGA-PBE
State: optimized geometry

```
BC3
1.0
4.2066 0.0285 -5.3944
-0.2925 2.5244 -6.4858
0.1267 -0.0419 6.9647
B C
3 9
Direct
0.9902 0.3354 0.6548 B
0.4983 0.1662 0.3321 B
0.6333 0.9589 0.6744 B
0.6180 0.2978 0.3202 C
0.1184 0.1240 0.9944 C
0.0125 0.0023 0.0102 C
0.4844 0.8251 0.6593 C
0.1325 0.7850 0.3475 C
0.0016 0.6638 0.3378 C
0.6367 0.6214 0.0153 C
0.4923 0.5054 0.9869 C
0.1318 0.4646 0.6671 C
```

Properties
Final energy   -0.610 Ry per atom
Energy relative to the elements   0.289 eV/atom
Relative energy among the computed polymorphs   0.194 eV per formula unit

---

Question: energy relative to the elements of number 1 (YMg2PdPt)?
Answer: 1.240 eV/atom

---

Question: Number 2 is which compound?
Answer: HoMn4Tc

---

Question: Among the records above, which one has the lowest final energy?
Answer: HoMn4Tc

---

Copy entry 1 word for word.
Material: YMg2PdPt
Method: DFT, GGA-PBE
State: optimized geometry

```
YMg2PdPt
1.0
-1.8694 5.2679 0.0626
-1.4900 -0.5831 4.5799
4.9807 1.7456 1.8427
Y Mg Pd Pt
1 2 1 1
Direct
0.0000 0.0000 0.0000 Y
0.0000 0.0000 0.5000 Mg
0.5000 0.0000 0.0000 Mg
0.0000 0.5000 0.0000 Pd
0.5000 0.5000 0.5000 Pt
```

Properties
Final energy   -0.216 Ry per atom
Energy relative to the elements   1.240 eV/atom